GdSnSO: relaxed, PBE-GGA.

abc: 6.2124 6.4699 16.8604
angles: 90.00 90.00 90.00
Atoms (fractional coordinates):
Gd1 0.0427 0.1261 0.1950
Gd2 0.0427 0.3739 0.6950
Gd3 0.4573 0.6261 0.1950
Gd4 0.4573 0.8739 0.6950
Gd5 0.5427 0.1261 0.3050
Gd6 0.5427 0.3739 0.8050
Gd7 0.9573 0.6261 0.3050
Gd8 0.9573 0.8739 0.8050
Sn1 0.1284 0.2086 0.9931
Sn2 0.1284 0.2914 0.4931
Sn3 0.3716 0.7086 0.9931
Sn4 0.3716 0.7914 0.4931
Sn5 0.6284 0.2086 0.5069
Sn6 0.6284 0.2914 0.0069
Sn7 0.8716 0.7086 0.5069
Sn8 0.8716 0.7914 0.0069
S1 0.1492 0.5028 0.8872
S2 0.1492 0.9972 0.3872
S3 0.3508 0.0028 0.8872
S4 0.3508 0.4972 0.3872
S5 0.6492 0.5028 0.6128
S6 0.6492 0.9972 0.1128
S7 0.8508 0.0028 0.6128
S8 0.8508 0.4972 0.1128
O1 0.1660 0.6951 0.7213
O2 0.1660 0.8049 0.2213
O3 0.3340 0.1951 0.7213
O4 0.3340 0.3049 0.2213
O5 0.6660 0.6951 0.7787
O6 0.6660 0.8049 0.2787
O7 0.8340 0.1951 0.7787
O8 0.8340 0.3049 0.2787

* magnetic moment: 0.00 μB/f.u.
* electronic total energy: -6.22 eV per atom
* relative energy among the computed polymorphs: 56 meV/atom
* crystal system: orthorhombic

---

GdSnSO: relaxed, PBE-GGA.

abc: 6.0750 6.1380 17.0145
angles: 90.00 90.00 90.00
Atoms (fractional coordinates):
Gd1 0.0321 0.1185 0.1993
Gd2 0.0321 0.3815 0.6993
Gd3 0.4679 0.6185 0.1993
Gd4 0.4679 0.8815 0.6993
Gd5 0.5321 0.1185 0.3007
Gd6 0.5321 0.3815 0.8007
Gd7 0.9679 0.6185 0.3007
Gd8 0.9679 0.8815 0.8007
Sn1 0.2175 0.1096 0.9721
Sn2 0.2175 0.3904 0.4721
Sn3 0.2825 0.6096 0.9721
Sn4 0.2825 0.8904 0.4721
Sn5 0.7175 0.1096 0.5279
Sn6 0.7175 0.3904 0.0279
Sn7 0.7825 0.6096 0.5279
Sn8 0.7825 0.8904 0.0279
S1 0.1033 0.5119 0.1043
S2 0.1033 0.9881 0.6043
S3 0.3967 0.0119 0.1043
S4 0.3967 0.4881 0.6043
S5 0.6033 0.5119 0.3957
S6 0.6033 0.9881 0.8957
S7 0.8967 0.0119 0.3957
S8 0.8967 0.4881 0.8957
O1 0.2484 0.1401 0.7663
O2 0.2484 0.3599 0.2663
O3 0.2516 0.6401 0.7663
O4 0.2516 0.8599 0.2663
O5 0.7484 0.1401 0.7337
O6 0.7484 0.3599 0.2337
O7 0.7516 0.6401 0.7337
O8 0.7516 0.8599 0.2337

* magnetic moment: 0.00 μB/f.u.
* electronic total energy: -6.27 eV per atom
* relative energy among the computed polymorphs: 8 meV/atom
* crystal system: orthorhombic

---

SrGdSO: relaxed, PBE-GGA.

abc: 6.7872 16.1824 6.8791
angles: 90.00 90.00 90.00
Atoms (fractional coordinates):
Sr1 0.2147 0.0666 0.0878
Sr2 0.2147 0.4334 0.5878
Sr3 0.2853 0.5666 0.0878
Sr4 0.2853 0.9334 0.5878
Sr5 0.7147 0.0666 0.4122
Sr6 0.7147 0.4334 0.9122
Sr7 0.7853 0.5666 0.4122
Sr8 0.7853 0.9334 0.9122
Gd1 0.1920 0.6990 0.6382
Gd2 0.1920 0.8010 0.1382
Gd3 0.3080 0.1990 0.6382
Gd4 0.3080 0.3010 0.1382
Gd5 0.6920 0.6990 0.8618
Gd6 0.6920 0.8010 0.3618
Gd7 0.8080 0.1990 0.8618
Gd8 0.8080 0.3010 0.3618
S1 0.0249 0.0683 0.6999
S2 0.0249 0.4317 0.1999
S3 0.4751 0.5683 0.6999
S4 0.4751 0.9317 0.1999
S5 0.5249 0.0683 0.8001
S6 0.5249 0.4317 0.3001
S7 0.9751 0.5683 0.8001
S8 0.9751 0.9317 0.3001
O1 0.1436 0.2254 0.9249
O2 0.1436 0.2746 0.4249
O3 0.3564 0.7254 0.9249
O4 0.3564 0.7746 0.4249
O5 0.6436 0.2254 0.5751
O6 0.6436 0.2746 0.0751
O7 0.8564 0.7254 0.5751
O8 0.8564 0.7746 0.0751

* magnetic moment: 0.74 μB/f.u.
* electronic total energy: -6.09 eV per atom
* relative energy among the computed polymorphs: 1 meV/atom
* crystal system: orthorhombic

---

SrGdSO: relaxed, PBE-GGA.

abc: 10.1435 10.1435 10.1435
angles: 26.14 26.14 26.14
Atoms (fractional coordinates):
Sr1 0.1257 0.1257 0.1257
Sr2 0.8743 0.8743 0.8743
Gd1 0.2891 0.2891 0.2891
Gd2 0.7109 0.7109 0.7109
S1 0.3857 0.3857 0.3857
S2 0.6143 0.6143 0.6143
O1 0.2077 0.2077 0.2077
O2 0.7923 0.7923 0.7923

* magnetic moment: 0.01 μB/f.u.
* electronic total energy: -6.00 eV per atom
* relative energy among the computed polymorphs: 92 meV/atom
* crystal system: trigonal

---

SrGdSO: relaxed, PBE-GGA.

abc: 6.8177 16.2446 6.8661
angles: 90.00 90.00 90.00
Atoms (fractional coordinates):
Sr1 0.2154 0.0671 0.0879
Sr2 0.2154 0.4329 0.5879
Sr3 0.2846 0.5671 0.0879
Sr4 0.2846 0.9329 0.5879
Sr5 0.7154 0.0671 0.4121
Sr6 0.7154 0.4329 0.9121
Sr7 0.7846 0.5671 0.4121
Sr8 0.7846 0.9329 0.9121
Gd1 0.1861 0.6992 0.6387
Gd2 0.1861 0.8008 0.1387
Gd3 0.3139 0.1992 0.6387
Gd4 0.3139 0.3008 0.1387
Gd5 0.6861 0.6992 0.8613
Gd6 0.6861 0.8008 0.3613
Gd7 0.8139 0.1992 0.8613
Gd8 0.8139 0.3008 0.3613
S1 0.0285 0.0687 0.6984
S2 0.0285 0.4313 0.1984
S3 0.4715 0.5687 0.6984
S4 0.4715 0.9313 0.1984
S5 0.5285 0.0687 0.8016
S6 0.5285 0.4313 0.3016
S7 0.9715 0.5687 0.8016
S8 0.9715 0.9313 0.3016
O1 0.1497 0.2251 0.9253
O2 0.1497 0.2749 0.4253
O3 0.3503 0.7251 0.9253
O4 0.3503 0.7749 0.4253
O5 0.6497 0.2251 0.5747
O6 0.6497 0.2749 0.0747
O7 0.8503 0.7251 0.5747
O8 0.8503 0.7749 0.0747

* magnetic moment: 0.75 μB/f.u.
* electronic total energy: -6.09 eV per atom
* relative energy among the computed polymorphs: 0 meV/atom
* crystal system: orthorhombic

---

TbGdSO2: relaxed, PBE-GGA.

abc: 3.8246 3.8246 6.6209
angles: 90.00 90.00 120.00
Atoms (fractional coordinates):
Tb1 0.0000 0.0000 0.0000
Gd1 0.6667 0.3333 0.4369
S1 0.3333 0.6667 0.7191
O1 0.0000 0.0000 0.3466
O2 0.6667 0.3333 0.0876

* magnetic moment: 0.00 μB/f.u.
* electronic total energy: -7.86 eV per atom
* crystal system: trigonal

---

GdTmSO2: relaxed, PBE-GGA.

abc: 3.7809 3.7809 6.5630
angles: 90.00 90.00 120.00
Atoms (fractional coordinates):
Gd1 0.0000 0.0000 0.0000
Tm1 0.3333 0.6667 0.5644
S1 0.6667 0.3333 0.2856
O1 0.0000 0.0000 0.6460
O2 0.3333 0.6667 0.9050

* magnetic moment: 0.00 μB/f.u.
* electronic total energy: -7.84 eV per atom
* crystal system: trigonal

---

GdYSO2: relaxed, PBE-GGA.

abc: 3.8174 3.8174 6.6167
angles: 90.00 90.00 120.00
Atoms (fractional coordinates):
Gd1 0.0000 0.0000 0.0000
Y1 0.3333 0.6667 0.5631
S1 0.6667 0.3333 0.2833
O1 0.0000 0.0000 0.6506
O2 0.3333 0.6667 0.9100

* magnetic moment: 0.00 μB/f.u.
* electronic total energy: -8.21 eV per atom
* crystal system: trigonal

---

Among the records above, which one has the highest magnetic moment? number 5